! TlCoBr2, relaxed, DFT GGA-PBE; values from VASP
! **Distance to the lowest polymorph of the same formula**: 77 meV per atom
! **Formation energy (no corrections)**: -0.172 eV/atom
! **Symmetry**: P2/m
! **Uncorrected energy**: -13.507 eV per cell
&SYSTEM
  ibrav = 0, nat = 4, ntyp = 3
/
ATOMIC_SPECIES
Br 79.90 Br.upf
Co 58.93 Co.upf
Tl 204.38 Tl.upf
ATOMIC_POSITIONS angstrom
Br 0.000 0.716 0.259
Br 0.000 2.423 3.139
Co 1.867 1.569 1.699
Tl 1.867 4.708 5.098
CELL_PARAMETERS angstrom
3.734 0.000 0.000
0.000 4.512 0.023
0.000 1.766 6.774

---

! KNd2Be2O6, relaxed, DFT GGA-PBE; values from VASP
! **Formation energy (no corrections)**: -2.551 eV/atom
! **Symmetry**: P-1
! **Uncorrected energy**: -75.894 eV per cell
&SYSTEM
  ibrav = 0, nat = 11, ntyp = 4
/
ATOMIC_SPECIES
K 39.10 K.upf
Nd 144.24 Nd.upf
Be 9.01 Be.upf
O 16.00 O.upf
ATOMIC_POSITIONS angstrom
K -0.709 2.745 3.008
Nd -1.073 2.773 6.629
Nd -0.179 -1.518 4.397
Be 1.758 1.147 4.666
Be -3.009 0.109 6.360
O 0.637 2.044 5.261
O -0.213 -0.810 2.116
O -2.022 -0.296 9.867
O -1.039 2.065 8.909
O 0.770 1.551 1.158
O -1.889 -0.788 5.764
CELL_PARAMETERS angstrom
-3.854 0.072 5.027
0.167 -4.234 5.010
2.435 5.417 0.989

---

! ZrBe2Cd, relaxed, DFT GGA-PBE; values from VASP
! **ΔE_f**: 0.22 eV/atom
! **Symmetry**: Imm2
! **Uncorrected energy**: -16.019 eV per cell
&SYSTEM
  ibrav = 0, nat = 4, ntyp = 3
/
ATOMIC_SPECIES
Be 9.01 Be.upf
Zr 91.22 Zr.upf
Cd 112.41 Cd.upf
ATOMIC_POSITIONS angstrom
Be 0.769 -5.496 -8.082
Be -1.491 -2.729 -2.139
Zr 0.956 -2.322 -1.124
Cd 0.396 -2.835 -4.168
CELL_PARAMETERS angstrom
-2.117 -2.768 -4.487
2.914 -2.933 -3.896
-1.363 0.871 5.446

---

! Cd7SnHg2, relaxed, DFT GGA-PBE; values from VASP
! **Distance to the lowest polymorph of the same formula**: 0 meV per atom
! **ΔE_f**: 0.03 eV/atom
! **Symmetry**: C2/c
! **Uncorrected energy**: -21.485 eV per cell
&SYSTEM
  ibrav = 0, nat = 20, ntyp = 3
/
ATOMIC_SPECIES
Cd 112.41 Cd.upf
Sn 118.71 Sn.upf
Hg 200.59 Hg.upf
ATOMIC_POSITIONS angstrom
Cd 8.347 3.264 11.088
Cd 8.112 0.106 6.725
Cd 6.049 5.341 10.947
Cd 5.630 2.012 6.506
Cd 6.841 1.099 9.408
Cd 9.638 2.184 8.449
Cd 2.857 1.146 1.881
Cd 10.048 5.169 12.909
Cd 3.267 4.132 6.340
Cd 6.063 5.217 5.381
Cd 7.274 4.304 8.283
Cd 6.855 0.974 3.842
Cd 4.793 6.209 8.064
Cd 4.557 3.051 3.701
Sn 2.597 1.099 7.338
Sn 10.308 5.217 7.451
Hg 9.035 6.324 10.157
Hg 8.421 3.166 5.610
Hg 4.483 3.149 9.179
Hg 3.869 -0.009 4.632
CELL_PARAMETERS angstrom
8.126 0.000 3.963
3.826 7.276 2.466
0.952 -0.961 8.360

---

! Rb3CeNp2Se6, relaxed, DFT GGA-PBE; values from VASP
! **Formation energy (no corrections)**: -1.380 eV/atom
! **Symmetry**: C2/m
! **Uncorrected energy**: -72.182 eV per cell
&SYSTEM
  ibrav = 0, nat = 12, ntyp = 4
/
ATOMIC_SPECIES
Rb 85.47 Rb.upf
Ce 140.12 Ce.upf
Np 237.00 Np.upf
Se 78.96 Se.upf
ATOMIC_POSITIONS angstrom
Rb -2.512 4.340 4.001
Rb 5.015 -0.007 4.001
Rb 1.251 2.167 4.001
Ce 0.000 0.000 0.000
Np 0.000 4.335 0.000
Np 3.755 2.166 0.000
Se 3.771 2.136 6.425
Se 2.486 4.304 1.575
Se -1.268 2.198 1.577
Se -0.035 4.334 6.425
Se 0.017 0.030 6.427
Se 2.538 0.000 1.577
CELL_PARAMETERS angstrom
7.508 -0.001 0.000
-3.753 6.503 0.000
-1.252 -2.168 8.002

---

! SrGaBr5, relaxed, DFT GGA-PBE; values from VASP
! **Formation energy (no corrections)**: -1.335 eV/atom
! **Symmetry**: C2/c
! **Uncorrected energy**: -44.833 eV per cell
&SYSTEM
  ibrav = 0, nat = 14, ntyp = 3
/
ATOMIC_SPECIES
Sr 87.62 Sr.upf
Ga 69.72 Ga.upf
Br 79.90 Br.upf
ATOMIC_POSITIONS angstrom
Sr 3.647 0.130 -1.349
Sr 3.653 0.136 4.138
Ga 6.071 4.566 -1.305
Ga 0.367 2.953 6.882
Br 5.041 5.258 -3.321
Br 1.114 4.722 1.288
Br 2.834 0.831 1.394
Br 5.231 5.479 0.710
Br 1.207 2.040 4.867
Br 6.018 2.194 -1.199
Br 0.419 5.326 6.775
Br 3.604 6.688 4.182
Br 5.324 2.797 4.288
Br 1.397 2.261 8.897
CELL_PARAMETERS angstrom
7.294 0.260 -2.699
-0.868 7.247 -2.699
0.012 0.012 10.974

---

! SiIrBr2, relaxed, DFT GGA-PBE; values from VASP
! **Distance to the lowest polymorph of the same formula**: 1227 meV per atom
! **Formation energy (no corrections)**: 1.054 eV/atom
! **Symmetry**: Fm-3m
! **Uncorrected energy**: -13.414 eV per cell
&SYSTEM
  ibrav = 0, nat = 4, ntyp = 3
/
ATOMIC_SPECIES
Si 28.09 Si.upf
Ir 192.22 Ir.upf
Br 79.90 Br.upf
ATOMIC_POSITIONS angstrom
Si 0.000 0.000 0.000
Ir 2.618 0.738 5.188
Br 1.309 0.369 2.594
Br 3.927 1.106 7.782
CELL_PARAMETERS angstrom
3.801 1.863 2.227
-0.469 1.860 4.381
1.904 -2.248 3.768

---

! ScAg2, relaxed, DFT GGA-PBE; values from VASP
! **Distance to the lowest polymorph of the same formula**: 278 meV per atom
! **ΔE_f**: -0.01 eV/atom
! **Symmetry**: P-3m1
! **Uncorrected energy**: -12.079 eV per cell
&SYSTEM
  ibrav = 0, nat = 3, ntyp = 2
/
ATOMIC_SPECIES
Ag 107.87 Ag.upf
Sc 44.96 Sc.upf
ATOMIC_POSITIONS angstrom
Ag -5.878 -3.006 2.301
Ag -3.751 -3.304 0.284
Sc -2.710 -0.789 -0.868
CELL_PARAMETERS angstrom
-1.672 1.725 -2.019
1.096 -2.809 -0.869
-5.882 -3.008 2.302

---

! YInH2, relaxed, DFT GGA-PBE; values from VASP
! **Distance to the lowest polymorph of the same formula**: 0 meV per atom
! **Symmetry**: I-42d
! **Uncorrected energy**: -33.212 eV per cell
&SYSTEM
  ibrav = 0, nat = 8, ntyp = 3
/
ATOMIC_SPECIES
Y 88.91 Y.upf
H 1.01 H.upf
In 114.82 In.upf
ATOMIC_POSITIONS angstrom
Y 2.424 2.424 0.000
Y 2.424 4.847 2.817
H 3.279 1.212 1.409
H 1.569 3.636 1.409
H 3.636 3.993 4.226
H 6.059 5.702 4.226
In 0.000 0.000 0.000
In 4.847 2.424 2.817
CELL_PARAMETERS angstrom
4.847 0.000 0.000
0.000 4.847 0.000
2.424 2.424 5.635

---

! Al2IrBr, relaxed, DFT GGA-PBE; values from VASP
! **Distance to the lowest polymorph of the same formula**: 989 meV per atom
! **Formation energy (no corrections)**: 0.476 eV/atom
! **Symmetry**: F-43m
! **Uncorrected energy**: -16.115 eV per cell
&SYSTEM
  ibrav = 0, nat = 4, ntyp = 3
/
ATOMIC_SPECIES
Ir 192.22 Ir.upf
Al 26.98 Al.upf
Br 79.90 Br.upf
ATOMIC_POSITIONS angstrom
Ir -0.909 -7.773 3.328
Al 0.000 0.000 0.000
Al -0.303 -2.591 1.109
Br -0.606 -5.182 2.218
CELL_PARAMETERS angstrom
-0.780 -2.376 3.895
-2.494 -3.898 -0.127
2.062 -4.090 0.668

---

! Hg2IN2, relaxed, DFT GGA-PBE; values from VASP
! **Distance to the lowest polymorph of the same formula**: 175 meV per atom
! **Formation energy (no corrections)**: 1.366 eV/atom
! **Symmetry**: I4/mmm
! **Uncorrected energy**: -11.977 eV per cell
&SYSTEM
  ibrav = 0, nat = 5, ntyp = 3
/
ATOMIC_SPECIES
I 126.90 I.upf
Hg 200.59 Hg.upf
N 14.01 N.upf
ATOMIC_POSITIONS angstrom
I 0.000 0.000 0.000
Hg 2.185 1.443 2.897
Hg 4.004 1.860 5.629
N 1.853 1.969 5.041
N 4.335 1.334 3.485
CELL_PARAMETERS angstrom
-1.128 -0.253 4.078
3.836 -1.523 0.967
3.481 5.079 3.481

---

! CaP2Os, relaxed, DFT GGA-PBE; values from VASP
! **Distance to the lowest polymorph of the same formula**: 164 meV per atom
! **ΔE_f**: -0.44 eV/atom
! **Symmetry**: Amm2
! **Uncorrected energy**: -25.797 eV per cell
&SYSTEM
  ibrav = 0, nat = 4, ntyp = 3
/
ATOMIC_SPECIES
Ca 40.08 Ca.upf
Os 190.23 Os.upf
P 30.97 P.upf
ATOMIC_POSITIONS angstrom
Ca 0.000 3.079 2.500
Os 2.059 3.080 0.002
P 0.000 4.974 4.699
P 2.059 1.184 1.253
CELL_PARAMETERS angstrom
4.118 0.000 0.000
0.000 3.791 0.002
0.000 1.893 5.633

---

! LaWAu2, relaxed, DFT GGA-PBE; values from VASP
! **Distance to the lowest polymorph of the same formula**: 116 meV per atom
! **ΔE_f**: 0.25 eV/atom
! **Symmetry**: Pmm2
! **Uncorrected energy**: -23.437 eV per cell
&SYSTEM
  ibrav = 0, nat = 4, ntyp = 3
/
ATOMIC_SPECIES
Au 196.97 Au.upf
La 138.91 La.upf
W 183.84 W.upf
ATOMIC_POSITIONS angstrom
Au -4.956 -0.937 4.663
Au -2.769 0.580 -0.641
La -2.506 -0.474 2.358
W -5.782 0.010 2.193
CELL_PARAMETERS angstrom
-1.210 3.026 -0.678
-2.188 -1.462 -2.619
-5.046 -0.954 4.748

---

! Cr2CuSn, relaxed, DFT GGA-PBE; values from VASP
! **ΔE_f**: 0.73 eV/atom
! **Symmetry**: I-42d
! **Uncorrected energy**: -48.814 eV per cell
&SYSTEM
  ibrav = 0, nat = 8, ntyp = 3
/
ATOMIC_SPECIES
Cr 52.00 Cr.upf
Sn 118.71 Sn.upf
Cu 63.55 Cu.upf
ATOMIC_POSITIONS angstrom
Cr -0.316 -2.581 4.854
Cr 4.187 -1.516 3.679
Cr 3.054 -2.251 7.077
Cr 4.627 -4.796 10.798
Sn 0.000 0.000 0.000
Sn 0.557 -3.434 7.348
Cu 1.965 -2.623 3.861
Cu 5.219 -2.138 5.856
CELL_PARAMETERS angstrom
-2.697 -3.919 5.354
6.628 -1.326 2.369
1.845 -0.327 5.481

---

! Tb8Y2Tm3, relaxed, DFT GGA-PBE; values from VASP
! **ΔE_f**: 0.23 eV/atom
! **Symmetry**: C2/m
! **Uncorrected energy**: -60.455 eV per cell
&SYSTEM
  ibrav = 0, nat = 13, ntyp = 3
/
ATOMIC_SPECIES
Tb 158.93 Tb.upf
Y 88.91 Y.upf
Tm 168.93 Tm.upf
ATOMIC_POSITIONS angstrom
Tb -0.439 3.799 3.321
Tb 4.634 0.000 7.468
Tb 5.180 0.000 3.364
Tb -0.985 3.799 7.426
Tb 1.713 1.599 8.285
Tb 1.713 -1.599 8.285
Tb 2.482 5.398 2.505
Tb 2.482 2.200 2.505
Y 2.119 0.000 5.214
Y 2.076 3.799 5.575
Tm 2.765 0.000 0.367
Tm 0.000 2.163 0.000
Tm 0.000 5.436 0.000
CELL_PARAMETERS angstrom
5.530 0.000 0.733
0.000 7.599 0.000
-1.336 -3.799 10.057

---

! CdGePt, relaxed, DFT GGA-PBE; values from VASP
! **ΔE_f**: -0.17 eV/atom
! **Symmetry**: I4mm
! **Uncorrected energy**: -12.089 eV per cell
&SYSTEM
  ibrav = 0, nat = 3, ntyp = 3
/
ATOMIC_SPECIES
Ge 72.64 Ge.upf
Pt 195.08 Pt.upf
Cd 112.41 Cd.upf
ATOMIC_POSITIONS angstrom
Ge -2.946 0.866 0.447
Pt -1.679 3.031 -0.372
Cd -4.521 3.708 0.098
CELL_PARAMETERS angstrom
-2.404 -1.512 -1.471
-1.441 -0.452 2.819
-0.728 5.767 -1.262

---

! PuNi2H8Ir, relaxed, DFT GGA-PBE; values from VASP
! **Symmetry**: R-3
! **Uncorrected energy**: -62.732 eV per cell
&SYSTEM
  ibrav = 0, nat = 12, ntyp = 4
/
ATOMIC_SPECIES
Pu 244.00 Pu.upf
Ni 58.69 Ni.upf
H 1.01 H.upf
Ir 192.22 Ir.upf
ATOMIC_POSITIONS angstrom
Pu -3.076 -4.675 -1.787
Ni -1.099 -2.308 -1.017
Ni -5.053 -7.043 -2.557
H -2.595 -2.410 -0.595
H -1.434 -3.154 -2.384
H -3.557 -6.941 -2.979
H -1.571 -5.366 -3.408
H -4.581 -3.984 -0.166
H -0.925 -5.144 -1.064
H -5.227 -4.207 -2.510
H -4.719 -6.197 -1.190
Ir 0.000 0.000 0.000
CELL_PARAMETERS angstrom
-0.906 -2.266 -3.761
0.292 -4.474 -0.048
-5.538 -2.611 0.235

---

! BaNdPd2, relaxed, DFT GGA-PBE; values from VASP
! **Distance to the lowest polymorph of the same formula**: 107 meV per atom
! **ΔE_f**: -0.54 eV/atom
! **Symmetry**: R-3m
! **Uncorrected energy**: -19.233 eV per cell
&SYSTEM
  ibrav = 0, nat = 4, ntyp = 3
/
ATOMIC_SPECIES
Ba 137.33 Ba.upf
Nd 144.24 Nd.upf
Pd 106.42 Pd.upf
ATOMIC_POSITIONS angstrom
Ba 2.440 0.000 0.000
Nd 2.440 2.817 2.867
Pd 4.879 1.407 2.032
Pd 4.879 4.227 3.701
CELL_PARAMETERS angstrom
4.879 0.000 0.000
2.440 4.229 0.007
2.440 1.404 5.727

---

! LaTlPCl2, relaxed, DFT GGA-PBE; values from VASP
! **Distance to the lowest polymorph of the same formula**: 564 meV per atom
! **Formation energy (no corrections)**: -0.499 eV/atom
! **Symmetry**: P4/mmm
! **Uncorrected energy**: -18.894 eV per cell
&SYSTEM
  ibrav = 0, nat = 5, ntyp = 4
/
ATOMIC_SPECIES
P 30.97 P.upf
Tl 204.38 Tl.upf
Cl 35.45 Cl.upf
La 138.91 La.upf
ATOMIC_POSITIONS angstrom
P -1.407 -1.999 1.014
Tl 0.000 0.000 0.000
Cl -1.846 0.354 -1.862
Cl -1.271 1.697 1.583
La -4.524 0.052 0.735
CELL_PARAMETERS angstrom
-2.542 3.394 3.166
-3.693 0.709 -3.725
-2.813 -3.998 2.028

---

! NaTm5Hg6, relaxed, DFT GGA-PBE; values from VASP
! **ΔE_f**: -0.43 eV/atom
! **Symmetry**: P2/m
! **Uncorrected energy**: -30.683 eV per cell
&SYSTEM
  ibrav = 0, nat = 12, ntyp = 3
/
ATOMIC_SPECIES
Na 22.99 Na.upf
Tm 168.93 Tm.upf
Hg 200.59 Hg.upf
ATOMIC_POSITIONS angstrom
Na 0.000 0.000 0.000
Tm 3.289 3.629 6.601
Tm 1.652 -0.015 3.240
Tm 0.020 3.658 0.007
Tm 3.262 -0.029 6.617
Tm 1.665 3.644 3.268
Hg 4.115 5.455 4.140
Hg 4.096 1.803 4.133
Hg 2.466 1.840 0.825
Hg 2.486 5.448 0.831
Hg 0.858 5.469 5.736
Hg 0.839 1.818 5.730
CELL_PARAMETERS angstrom
4.912 -0.029 1.643
0.039 7.317 0.013
0.002 -0.015 8.213

---

! La3Al2Zn7, relaxed, DFT GGA-PBE; values from VASP
! **ΔE_f**: -0.18 eV/atom
! **Symmetry**: I4/mmm
! **Uncorrected energy**: -33.323 eV per cell
&SYSTEM
  ibrav = 0, nat = 12, ntyp = 3
/
ATOMIC_SPECIES
La 138.91 La.upf
Al 26.98 Al.upf
Zn 65.41 Zn.upf
ATOMIC_POSITIONS angstrom
La 0.000 0.000 9.356
La 2.186 2.186 4.781
La 2.186 2.186 0.000
Al 0.000 0.000 3.679
Al 2.186 2.186 10.458
Zn 0.000 0.000 0.000
Zn 2.186 0.000 11.863
Zn 0.000 2.186 11.863
Zn 0.000 2.186 2.274
Zn 2.186 0.000 2.274
Zn 0.000 0.000 6.268
Zn 2.186 2.186 7.869
CELL_PARAMETERS angstrom
4.372 0.000 0.000
0.000 4.372 0.000
-2.186 -2.186 14.137

---

! LaMnB2Se, relaxed, DFT GGA-PBE; values from VASP
! **Formation energy (no corrections)**: 2.308 eV/atom
! **Symmetry**: P4/mmm
! **Uncorrected energy**: -19.396 eV per cell
&SYSTEM
  ibrav = 0, nat = 5, ntyp = 4
/
ATOMIC_SPECIES
B 10.81 B.upf
Mn 54.94 Mn.upf
Se 78.96 Se.upf
La 138.91 La.upf
ATOMIC_POSITIONS angstrom
B 0.000 0.000 2.396
B 2.396 0.000 0.000
Mn 0.000 2.344 0.000
Se 2.396 2.344 2.396
La 0.000 0.000 0.000
CELL_PARAMETERS angstrom
4.793 0.000 0.000
0.000 4.687 0.000
0.000 0.000 4.793

---

! Tb4NiPb2, relaxed, DFT GGA-PBE; values from VASP
! **Distance to the lowest polymorph of the same formula**: 15 meV per atom
! **ΔE_f**: -0.36 eV/atom
! **Symmetry**: I4/mmm
! **Uncorrected energy**: -34.216 eV per cell
&SYSTEM
  ibrav = 0, nat = 7, ntyp = 3
/
ATOMIC_SPECIES
Pb 207.20 Pb.upf
Ni 58.69 Ni.upf
Tb 158.93 Tb.upf
ATOMIC_POSITIONS angstrom
Pb 2.481 2.481 2.321
Pb 0.000 0.000 6.044
Ni 0.000 0.000 0.000
Tb 2.481 2.481 5.455
Tb 0.000 0.000 2.910
Tb 0.000 2.481 0.000
Tb 2.481 0.000 0.000
CELL_PARAMETERS angstrom
4.963 0.000 0.000
0.000 4.963 0.000
-2.481 -2.481 8.365

---

! Zr2BeSi, relaxed, DFT GGA-PBE; values from VASP
! **Distance to the lowest polymorph of the same formula**: 520 meV per atom
! **Formation energy (no corrections)**: -0.128 eV/atom
! **Symmetry**: Cmm2
! **Uncorrected energy**: -26.756 eV per cell
&SYSTEM
  ibrav = 0, nat = 4, ntyp = 3
/
ATOMIC_SPECIES
Be 9.01 Be.upf
Si 28.09 Si.upf
Zr 91.22 Zr.upf
ATOMIC_POSITIONS angstrom
Be 3.223 -2.207 -0.649
Si 2.935 -4.265 -1.461
Zr 5.625 -3.852 -1.132
Zr 0.596 -2.663 -0.990
CELL_PARAMETERS angstrom
-1.283 -2.358 1.648
-0.995 -0.592 -2.929
5.863 -4.015 -1.180

---

! CuAs4, relaxed, DFT GGA-PBE; values from VASP
! **Distance to the lowest polymorph of the same formula**: 512 meV per atom
! **ΔE_f**: 0.71 eV/atom
! **Symmetry**: Pm-3m
! **Uncorrected energy**: -19.136 eV per cell
&SYSTEM
  ibrav = 0, nat = 5, ntyp = 2
/
ATOMIC_SPECIES
As 74.92 As.upf
Cu 63.55 Cu.upf
ATOMIC_POSITIONS angstrom
As 0.000 0.000 0.000
As -0.254 0.022 3.313
As -1.115 -2.691 1.599
As -2.996 0.044 1.437
Cu -2.182 -1.312 3.174
CELL_PARAMETERS angstrom
-2.134 2.757 3.151
-3.857 -2.669 -0.277
1.627 -2.712 3.476